[1]
The following is a DFT calculation (PBE-GGA) of a relaxed La3Br6N crystal.

Calculated values
Volume = 297.4 Å³/f.u.
M_tot = 0.0 Bohr magnetons per cell
E_tot = -5.29 eV per atom
Formation energy from raw total energies = -1971 meV/atom
SG = Pbca

Cell lengths 11.304, 12.125, 17.358 Å; angles 90.00, 90.00, 90.00 degrees
Fractional positions:
La  0.137  0.020  0.442
La  0.637  0.480  0.558
La  0.863  0.520  0.058
La  0.363  0.980  0.942
La  0.863  0.980  0.558
La  0.363  0.520  0.442
La  0.137  0.480  0.942
La  0.637  0.020  0.058
La  0.351  0.961  0.173
La  0.851  0.539  0.827
La  0.649  0.461  0.327
La  0.149  0.039  0.673
La  0.649  0.039  0.827
La  0.149  0.461  0.173
La  0.351  0.539  0.673
La  0.851  0.961  0.327
La  0.009  0.223  0.050
La  0.509  0.277  0.950
La  0.991  0.723  0.450
La  0.491  0.777  0.550
La  0.991  0.777  0.950
La  0.491  0.723  0.050
La  0.009  0.277  0.550
La  0.509  0.223  0.450
Br  0.257  0.785  0.454
Br  0.757  0.715  0.546
Br  0.743  0.285  0.046
Br  0.243  0.215  0.954
Br  0.743  0.215  0.546
Br  0.243  0.285  0.454
Br  0.257  0.715  0.954
Br  0.757  0.785  0.046
Br  0.368  0.067  0.339
Br  0.868  0.433  0.661
Br  0.632  0.567  0.161
Br  0.132  0.933  0.839
Br  0.632  0.933  0.661
Br  0.132  0.567  0.339
Br  0.368  0.433  0.839
Br  0.868  0.067  0.161
Br  0.107  0.919  0.275
Br  0.607  0.581  0.725
Br  0.893  0.419  0.225
Br  0.393  0.081  0.775
Br  0.893  0.081  0.725
Br  0.393  0.419  0.275
Br  0.107  0.581  0.775
Br  0.607  0.919  0.225
Br  0.644  0.970  0.444
Br  0.144  0.530  0.556
Br  0.356  0.470  0.056
Br  0.856  0.030  0.944
Br  0.356  0.030  0.556
Br  0.856  0.470  0.444
Br  0.644  0.530  0.944
Br  0.144  0.970  0.056
Br  0.162  0.219  0.189
Br  0.662  0.281  0.811
Br  0.838  0.719  0.311
Br  0.338  0.781  0.689
Br  0.838  0.781  0.811
Br  0.338  0.719  0.189
Br  0.162  0.281  0.689
Br  0.662  0.219  0.311
Br  0.534  0.684  0.377
Br  0.034  0.816  0.623
Br  0.466  0.184  0.123
Br  0.966  0.316  0.877
Br  0.466  0.316  0.623
Br  0.966  0.184  0.377
Br  0.534  0.816  0.877
Br  0.034  0.684  0.123
N  0.546  0.091  0.940
N  0.046  0.409  0.060
N  0.454  0.591  0.560
N  0.954  0.909  0.440
N  0.454  0.909  0.060
N  0.954  0.591  0.940
N  0.546  0.409  0.440
N  0.046  0.091  0.560



[2]
The following is a DFT calculation (PBE-GGA) of a relaxed La4Br5N crystal.

Calculated values
Volume = 304.6 Å³/f.u.
M_tot = 0.0 Bohr magnetons per cell
E_tot = -5.34 eV per atom
Formation energy from raw total energies = -1702 meV/atom
SG = C2/m

Cell lengths 3.995, 8.501, 9.449 Å; angles 103.47, 102.20, 90.00 degrees
Fractional positions:
La  0.640  0.075  0.279
La  0.998  0.203  0.996
La  0.360  0.925  0.721
La  0.002  0.797  0.004
Br  0.164  0.349  0.329
Br  0.173  0.826  0.345
Br  0.827  0.174  0.655
Br  0.500  0.500  0.000
Br  0.836  0.651  0.671
N  0.500  0.000  0.000



[3]
The following is a DFT calculation (PBE-GGA) of a relaxed LaBrN crystal.

Calculated values
Volume = 80.4 Å³/f.u.
M_tot = 0.0 Bohr magnetons per cell
E_tot = -6.48 eV per atom
Formation energy from raw total energies = -1507 meV/atom
SG = C2/m

Cell lengths 4.064, 4.064, 10.270 Å; angles 91.12, 91.12, 71.43 degrees
Fractional positions:
La  0.298  0.298  0.136
La  0.702  0.702  0.864
Br  0.310  0.310  0.682
Br  0.690  0.690  0.318
N  0.842  0.158  0.000
N  0.158  0.842  0.000



[4]
The following is a DFT calculation (PBE-GGA) of a relaxed La8BrN6 crystal.

Calculated values
Volume = 323.7 Å³/f.u.
M_tot = 0.0 Bohr magnetons per cell
E_tot = -7.26 eV per atom
Formation energy from raw total energies = -1192 meV/atom
SG = P-3

Cell lengths 3.739, 9.998, 9.998 Å; angles 120.00, 90.00, 90.00 degrees
Fractional positions:
La  0.747  0.636  0.964
La  0.747  0.036  0.671
La  0.747  0.329  0.364
La  0.253  0.364  0.036
La  0.253  0.964  0.329
La  0.253  0.671  0.636
La  0.752  0.667  0.333
La  0.248  0.333  0.667
Br  0.500  0.000  0.000
N  0.751  0.520  0.653
N  0.751  0.347  0.867
N  0.751  0.133  0.480
N  0.249  0.480  0.347
N  0.249  0.653  0.133
N  0.249  0.867  0.520